(1)
Entry from OQMD via LeMat-Bulk: crystalline SmPb2 at its relaxed geometry (GGA-PBE).

abc: 5.2737 5.2737 5.2737
angles: 60.00 60.00 60.00
Last column: nearest neighbours and their distance in Å.
Sites, in units of the cell vectors:
1 Pb 0.2500 0.2500 0.2500  4 Sm 3.23
2 Pb 0.7500 0.7500 0.7500  4 Sm 3.23
3 Sm 0.0000 0.0000 0.0000  8 Pb 3.23

Computed properties:
The total energy is -4.13 eV per atom. Its size of the total moment is 0.0 μB/f.u.

***

(2)
Entry from OQMD via LeMat-Bulk: crystalline BaNb2SnO8 at its relaxed geometry (GGA-PBE).

abc: 5.1745 5.1745 7.6788
angles: 94.51 94.51 71.04
Last column: nearest neighbours and their distance in Å.
Sites, in units of the cell vectors:
1 Ba 0.0000 0.0000 0.0000  6 O 2.71-2.75
2 Nb 0.6100 0.6100 0.2862  4 O 1.82-1.90
3 Nb 0.3900 0.3900 0.7138  4 O 1.82-1.90
4 O 0.6865 0.6865 0.0729  1 Nb 1.82
5 O 0.7543 0.2238 0.3002  1 Nb 1.90, 1 Sn 2.08
6 O 0.2238 0.7543 0.3002  1 Nb 1.90, 1 Sn 2.08
7 O 0.7593 0.7593 0.4826  1 Nb 1.87, 1 Sn 2.02
8 O 0.2407 0.2407 0.5174  1 Nb 1.87, 1 Sn 2.02
9 O 0.7762 0.2457 0.6998  1 Nb 1.90, 1 Sn 2.08
10 O 0.2457 0.7762 0.6998  1 Nb 1.90, 1 Sn 2.08
11 O 0.3135 0.3135 0.9271  1 Nb 1.82
12 Sn 0.0000 0.0000 0.5000  6 O 2.02-2.08

Computed properties:
The total energy is -7.86 eV per atom. Its size of the total moment is 0.0 μB/f.u.

***

(3)
Entry from OQMD via LeMat-Bulk: crystalline InTeOsAuSe2 at its relaxed geometry (GGA-PBE).

abc: 7.5893 7.5893 10.3326
angles: 90.00 90.00 150.96
Last column: nearest neighbours and their distance in Å.
Sites, in units of the cell vectors:
1 Au 0.1585 0.8415 0.2500  2 Se 2.52, 2 In 2.79
2 Au 0.8415 0.1585 0.7500  2 Se 2.52, 2 In 2.79
3 In 0.7979 0.2021 0.2500  2 Au 2.79, 2 Te 3.02, 2 Se 3.03
4 In 0.2021 0.7979 0.7500  2 Au 2.79, 2 Te 3.02, 2 Se 3.03
5 Os 0.5000 0.5000 0.0000  4 Se 2.54, 2 Te 2.66
6 Os 0.5000 0.5000 0.5000  4 Se 2.54, 2 Te 2.66
7 Se 0.1140 0.8860 0.0148  1 Au 2.52, 2 Os 2.54
8 Se 0.1140 0.8860 0.4852  1 Au 2.52, 2 Os 2.54
9 Se 0.8860 0.1140 0.5148  1 Au 2.52, 2 Os 2.54
10 Se 0.8860 0.1140 0.9852  1 Au 2.52, 2 Os 2.54
11 Te 0.4575 0.5425 0.2500  2 Os 2.66
12 Te 0.5425 0.4575 0.7500  2 Os 2.66

Computed properties:
The total energy is -4.59 eV per atom. Its size of the total moment is 0.0 μB/f.u.

***

(4)
Entry from OQMD via LeMat-Bulk: crystalline NaCoHg at its relaxed geometry (GGA-PBE).

abc: 4.5757 4.5757 4.5757
angles: 60.00 60.00 60.00
Last column: nearest neighbours and their distance in Å.
Sites, in units of the cell vectors:
1 Co 0.2500 0.2500 0.2500  4 Na 2.80
2 Hg 0.7500 0.7500 0.7500  4 Na 2.80
3 Na 0.0000 0.0000 0.0000  4 Hg 2.80, 4 Co 2.80

Computed properties:
The total energy is -1.93 eV per atom. Its size of the total moment is 1.7 μB/f.u.

***

(5)
Entry from OQMD via LeMat-Bulk: crystalline Nd4AlNi2Ge4 at its relaxed geometry (GGA-PBE).

abc: 8.2133 8.2133 7.1505
angles: 107.35 107.35 30.72
Last column: nearest neighbours and their distance in Å.
Sites, in units of the cell vectors:
1 Al 0.0000 0.0000 0.0000  2 Ge 2.87
2 Ge 0.2097 0.2097 0.2883  3 Ni 2.46-2.56
3 Ge 0.9370 0.9370 0.3351  1 Ni 2.42, 1 Ge 2.58
4 Ge 0.0630 0.0630 0.6649  1 Ni 2.42, 1 Ge 2.58
5 Ge 0.7903 0.7903 0.7117  3 Ni 2.46-2.56
6 Nd 0.3463 0.3463 0.0584  5 Ge 2.99-3.21, 1 Ni 3.03
7 Nd 0.5903 0.5903 0.3830  7 Ge 3.09-3.31, 3 Ni 3.14-3.18, 2 Al 3.44
8 Nd 0.4097 0.4097 0.6170  7 Ge 3.09-3.31, 3 Ni 3.14-3.18, 2 Al 3.44
9 Nd 0.6537 0.6537 0.9416  5 Ge 2.99-3.21, 1 Ni 3.03
10 Ni 0.7863 0.7863 0.3510  4 Ge 2.42-2.56
11 Ni 0.2137 0.2137 0.6490  4 Ge 2.42-2.56

Computed properties:
The total energy is -5.49 eV per atom. Its size of the total moment is 0.0 μB/f.u.

***

(6)
Entry from OQMD via LeMat-Bulk: crystalline Tl2H6IrPt at its relaxed geometry (GGA-PBE).

abc: 5.3468 5.3468 5.3468
angles: 60.00 60.00 60.00
Last column: nearest neighbours and their distance in Å.
Sites, in units of the cell vectors:
1 H 0.7577 0.2423 0.2423  1 Ir 1.83, 1 Pt 1.95
2 H 0.2423 0.7577 0.2423  1 Ir 1.83, 1 Pt 1.95
3 H 0.7577 0.7577 0.2423  1 Ir 1.83, 1 Pt 1.95
4 H 0.7577 0.2423 0.7577  1 Ir 1.83, 1 Pt 1.95
5 H 0.2423 0.7577 0.7577  1 Ir 1.83, 1 Pt 1.95
6 H 0.2423 0.2423 0.7577  1 Ir 1.83, 1 Pt 1.95
7 Ir 0.0000 0.0000 0.0000  6 H 1.83
8 Pt 0.5000 0.5000 0.5000  6 H 1.95
9 Tl 0.2500 0.2500 0.2500  12 H 2.67
10 Tl 0.7500 0.7500 0.7500  12 H 2.67

Computed properties:
The total energy is -3.79 eV per atom. Its size of the total moment is 0.0 μB/f.u.

***

(7)
Entry from OQMD via LeMat-Bulk: crystalline TmPaAs at its relaxed geometry (GGA-PBE).

abc: 4.7247 4.7247 4.7247
angles: 60.00 60.00 60.00
Last column: nearest neighbours and their distance in Å.
Sites, in units of the cell vectors:
1 As 0.2500 0.2500 0.2500  4 Tm 2.89
2 Pa 0.7500 0.7500 0.7500  4 Tm 2.89
3 Tm 0.0000 0.0000 0.0000  4 Pa 2.89, 4 As 2.89

Computed properties:
The total energy is -5.73 eV per atom. Its size of the total moment is 0.9 μB/f.u.

***

(8)
Entry from OQMD via LeMat-Bulk: crystalline GdBAsO at its relaxed geometry (GGA-PBE).

abc: 5.6667 5.6667 4.3462
angles: 90.00 90.00 90.00
Last column: nearest neighbours and their distance in Å.
Sites, in units of the cell vectors:
1 As 0.0000 0.5000 0.1309  1 B 1.89
2 As 0.5000 0.0000 0.8691  1 B 1.89
3 B 0.5000 0.0000 0.4335  1 As 1.89
4 B 0.0000 0.5000 0.5665  1 As 1.89
5 Gd 0.0000 0.0000 0.5000  2 O 2.17
6 Gd 0.5000 0.5000 0.5000  2 O 2.17
7 O 0.0000 0.0000 0.0000  2 Gd 2.17
8 O 0.5000 0.5000 0.0000  2 Gd 2.17

Computed properties:
The total energy is -5.82 eV per atom. Its size of the total moment is 0.0 μB/f.u.